First-principles (PBE-GGA) data for a relaxed LiCa3Ru crystal, as listed in the Alexandria database.

Structure (POSCAR):
```
LiCa3Ru
1.0
-0.9907 -4.3347 -2.9932
5.1608 -1.4091 0.3325
-1.0557 -2.8204 4.4340
Ca Ru Li
3 1 1
direct
0.0000 0.5000 0.0000
0.0000 0.0000 0.5000
0.5000 0.0000 0.0000
0.5000 0.5000 0.5000
0.0000 0.0000 0.0000
```

Properties
Its space group is Pm-3m (221). As for the total energy: -2.52 eV per atom. As for the formation energy: 444 kJ/mol of formula units. The distance to the lowest polymorph of the same formula comes out at 741.2 meV/atom.

---

First-principles (PBE-GGA) data for a relaxed BaTlClF2 crystal, as listed in the Alexandria database.

Structure (POSCAR):
```
BaTlClF2
1.0
-2.5341 1.2597 -3.5486
-6.1276 -3.4259 3.1596
0.8473 8.6960 2.4817
Tl Cl Ba F
2 2 2 4
direct
0.7500 0.6990 0.4500
0.2500 0.3010 0.5500
0.2500 0.9592 0.1700
0.7500 0.0408 0.8300
0.7500 0.6959 0.9379
0.2500 0.3041 0.0621
0.7500 0.5085 0.6301
0.7500 0.4922 0.1158
0.2500 0.4915 0.3699
0.2500 0.5078 0.8842
```

Properties
Its space group is P2_1/m (11). As for the total energy: -4.62 eV per atom.

---

First-principles (PBE-GGA) data for a relaxed Ge2H2Se5 crystal, as listed in the Alexandria database.

Structure (POSCAR):
```
Ge2H2Se5
1.0
-2.2529 -11.7869 -2.4635
5.7296 -0.6018 -2.3603
0.5293 4.5212 8.3431
Se H Ge
10 4 4
direct
0.5375 0.7099 0.8236
0.3143 0.1955 0.7996
0.9853 0.6955 0.7996
0.8967 0.0928 0.5000
0.0147 0.8959 0.2004
0.1033 0.5928 0.5000
0.2139 0.3863 0.1764
0.4625 0.8863 0.1764
0.7861 0.2099 0.8236
0.6857 0.3959 0.2004
0.3569 0.7083 0.1421
0.7148 0.0662 0.8579
0.6431 0.5662 0.8579
0.2852 0.2083 0.1421
0.0000 0.0732 0.0000
0.9134 0.7081 0.5000
0.0866 0.2081 0.5000
0.5000 0.5732 0.0000
```

Properties
Its space group is Ima2 (46). As for the total energy: -3.86 eV per atom.

---

First-principles (PBE-GGA) data for a relaxed FeTe2Pd9 crystal, as listed in the Alexandria database.

Structure (POSCAR):
```
FeTe2Pd9
1.0
4.0314 0.0000 0.0000
0.0000 4.0314 0.0000
0.0000 0.0000 12.0398
Pd Fe Te
9 1 2
direct
0.0000 0.5000 0.1542
0.5000 0.5000 0.6695
0.5000 0.0000 0.8458
0.0000 0.5000 0.5000
0.5000 0.5000 0.0000
0.5000 0.0000 0.5000
0.5000 0.5000 0.3305
0.0000 0.5000 0.8458
0.5000 0.0000 0.1542
0.0000 0.0000 0.0000
0.0000 0.0000 0.3223
0.0000 0.0000 0.6777
```

Properties
Its space group is P4/mmm (123). As for the total energy: -5.27 eV per atom.

---

First-principles (PBE-GGA) data for a relaxed Sr3TiOs crystal, as listed in the Alexandria database.

Structure (POSCAR):
```
Sr3TiOs
1.0
-3.5032 4.5923 -0.0669
-4.1209 -3.1058 2.5958
2.0278 1.6220 5.1598
Sr Ti Os
3 1 1
direct
0.0000 0.0000 0.5000
0.5000 0.0000 0.0000
0.0000 0.5000 0.0000
0.5000 0.5000 0.5000
0.0000 0.0000 0.0000
```

Properties
Its space group is Pm-3m (221). As for the total energy: -3.77 eV per atom. As for the formation energy: 512 kJ/mol of formula units. The distance to the lowest polymorph of the same formula comes out at 0.0 meV/atom.

---

First-principles (PBE-GGA) data for a relaxed Er2Tl3In3 crystal, as listed in the Alexandria database.

Structure (POSCAR):
```
Er2Tl3In3
1.0
-2.2809 3.2241 2.5997
-3.8173 -0.5519 -2.6646
-3.0110 -6.7325 5.7078
Tl In Er
3 3 2
direct
0.0000 0.5000 0.0000
0.5000 0.0000 0.5000
0.0000 0.5000 0.5000
0.5000 0.5000 0.7537
0.5000 0.0000 0.0000
0.5000 0.5000 0.2463
0.0000 0.0000 0.7521
0.0000 0.0000 0.2479
```

Properties
Its space group is Pmmm (47). As for the total energy: -3.34 eV per atom. As for the formation energy: -217 kJ/mol of formula units.

---

First-principles (PBE-GGA) data for a relaxed LiVRh crystal, as listed in the Alexandria database.

Structure (POSCAR):
```
LiVRh
1.0
-2.0920 0.3126 -1.7199
-0.2023 -1.7376 2.0910
-4.8295 9.7675 7.6496
V Li Rh
2 2 2
direct
0.3333 0.6667 0.0861
0.6667 0.3333 0.9139
0.3333 0.6667 0.4048
0.6667 0.3333 0.5952
0.6667 0.3333 0.2397
0.3333 0.6667 0.7603
```

Properties
Its space group is P-3m1 (164). As for the total energy: -6.27 eV per atom. As for the formation energy: -41 kJ/mol of formula units. The distance to the lowest polymorph of the same formula comes out at 155.8 meV/atom.

---

First-principles (PBE-GGA) data for a relaxed V2SiB crystal, as listed in the Alexandria database.

Structure (POSCAR):
```
V2SiB
1.0
-3.4238 1.9103 0.8655
-1.7801 2.2878 -2.7782
-3.4458 -1.1960 -1.6783
B Si V
1 1 2
direct
0.0000 0.0000 0.0000
0.5000 0.5000 0.5000
0.7500 0.7500 0.7500
0.2500 0.2500 0.2500
```

Properties
Its space group is Fm-3m (225). As for the total energy: -7.42 eV per atom. The distance to the lowest polymorph of the same formula comes out at 684.1 meV/atom.